VASP calculation (PBE) on crystalline RePIrO at its relaxed geometry.

Summary:
Calculated density ... 14.118 g/cm³
E_tot ... -7.783 eV per atom
Offset from the most stable computed form ... 352.5 meV per atom
Total magnetization ... 0.0 μB per formula unit

a b c (Å): 3.962 3.962 6.376
angles (deg): 90.00 90.00 90.00
Element x y z (fractional)
Re  0.250  0.750  0.000
Re  0.750  0.250  0.000
P  0.250  0.250  0.211
P  0.750  0.750  0.789
Ir  0.250  0.250  0.684
Ir  0.750  0.750  0.316
O  0.250  0.750  0.500
O  0.750  0.250  0.500